Entry 1:
Here is an optimized crystal structure of BaInF2 from the Alexandria database. Energies are from PBE. Values from VASP.

Structure (Quantum ESPRESSO input):
```
&SYSTEM
  ibrav = 0, nat = 8, ntyp = 3
/
ATOMIC_SPECIES
Ba 137.33 Ba.upf
In 114.82 In.upf
F 19.00 F.upf
CELL_PARAMETERS angstrom
-3.2126 3.2126 6.3507
3.2126 -3.2126 6.3507
3.2126 3.2126 -6.3507
ATOMIC_POSITIONS crystal
Ba 0.0000 0.0000 0.0000
Ba 0.7500 0.2500 0.5000
In 0.2500 0.7500 0.5000
In 0.5000 0.5000 0.0000
F 0.0404 0.6250 0.9154
F 0.3750 0.2904 0.4154
F 0.7096 0.1250 0.0846
F 0.8750 0.9596 0.5846
```

Values from the calculation:
Raw formation energy, eV per atom: -2.302
Distance to the lowest polymorph of the same formula, eV per formula unit: 1.052
Mass density, g cm⁻³: 3.675

Entry 2:
Here is an optimized crystal structure of Ba5In2F12 from the Alexandria database. Energies are from PBE. Values from VASP.

Structure (Quantum ESPRESSO input):
```
&SYSTEM
  ibrav = 0, nat = 19, ntyp = 3
/
ATOMIC_SPECIES
Ba 137.33 Ba.upf
In 114.82 In.upf
F 19.00 F.upf
CELL_PARAMETERS angstrom
7.3838 -3.3336 0.0000
7.3838 3.3336 0.0000
-2.6191 0.0000 8.4654
ATOMIC_POSITIONS crystal
Ba 0.0000 0.0000 0.0000
Ba 0.3166 0.3166 0.1492
Ba 0.3175 0.3175 0.6651
Ba 0.6825 0.6825 0.3349
Ba 0.6834 0.6834 0.8508
In 0.2445 0.7555 0.5000
In 0.7555 0.2445 0.5000
F 0.0027 0.0027 0.2914
F 0.0795 0.5966 0.9256
F 0.0896 0.5420 0.4002
F 0.4034 0.9205 0.0744
F 0.4580 0.9104 0.5998
F 0.5001 0.5001 0.2163
F 0.4999 0.4999 0.7837
F 0.5420 0.0896 0.4002
F 0.5966 0.0795 0.9256
F 0.9104 0.4580 0.5998
F 0.9205 0.4034 0.0744
F 0.9973 0.9973 0.7086
```

Values from the calculation:
Raw formation energy, eV per atom: -3.300
Mass density, g cm⁻³: 4.559

Entry 3:
Here is an optimized crystal structure of BaInF3 from the Alexandria database. Energies are from PBE. Values from VASP.

Structure (Quantum ESPRESSO input):
```
&SYSTEM
  ibrav = 0, nat = 5, ntyp = 3
/
ATOMIC_SPECIES
Ba 137.33 Ba.upf
In 114.82 In.upf
F 19.00 F.upf
CELL_PARAMETERS angstrom
5.1025 0.0000 0.0000
0.0000 5.1025 0.0000
0.0000 0.0000 5.1025
ATOMIC_POSITIONS crystal
Ba 0.0000 0.0000 0.0000
In 0.5000 0.5000 0.5000
F 0.0000 0.0000 0.5000
F 0.0000 0.5000 0.0000
F 0.5000 0.0000 0.0000
```

Values from the calculation:
Raw formation energy, eV per atom: -2.725
Distance to the lowest polymorph of the same formula, eV per formula unit: 0.000
Mass density, g cm⁻³: 3.864

Entry 4:
Here is an optimized crystal structure of BaInF3 from the Alexandria database. Energies are from PBE. Values from VASP.

Structure (Quantum ESPRESSO input):
```
&SYSTEM
  ibrav = 0, nat = 5, ntyp = 3
/
ATOMIC_SPECIES
Ba 137.33 Ba.upf
In 114.82 In.upf
F 19.00 F.upf
CELL_PARAMETERS angstrom
4.7849 0.0000 0.0000
0.0000 4.7849 0.0000
0.0000 0.0000 4.7849
ATOMIC_POSITIONS crystal
Ba 0.0000 0.0000 0.0000
In 0.5000 0.5000 0.5000
F 0.0000 0.5000 0.5000
F 0.5000 0.0000 0.5000
F 0.5000 0.5000 0.0000
```

Values from the calculation:
Raw formation energy, eV per atom: -2.480
Distance to the lowest polymorph of the same formula, eV per formula unit: 1.223
Mass density, g cm⁻³: 4.686

Entry 5:
Here is an optimized crystal structure of Ba3In5F12 from the Alexandria database. Energies are from PBE. Values from VASP.

Structure (Quantum ESPRESSO input):
```
&SYSTEM
  ibrav = 0, nat = 80, ntyp = 3
/
ATOMIC_SPECIES
Ba 137.33 Ba.upf
In 114.82 In.upf
F 19.00 F.upf
CELL_PARAMETERS angstrom
-7.5860 7.5860 7.5860
7.5860 -7.5860 7.5860
7.5860 7.5860 -7.5860
ATOMIC_POSITIONS crystal
Ba 0.1250 0.2500 0.3750
Ba 0.1250 0.3750 0.7500
Ba 0.2500 0.3750 0.1250
Ba 0.2500 0.8750 0.6250
Ba 0.3750 0.1250 0.2500
Ba 0.3750 0.7500 0.1250
Ba 0.6250 0.2500 0.8750
Ba 0.6250 0.8750 0.7500
Ba 0.7500 0.1250 0.3750
Ba 0.7500 0.6250 0.8750
Ba 0.8750 0.6250 0.2500
Ba 0.8750 0.7500 0.6250
In 0.0000 0.0000 0.0000
In 0.0000 0.0000 0.5000
In 0.0000 0.5000 0.0000
In 0.0000 0.5000 0.5000
In 0.1250 0.7500 0.8750
In 0.1250 0.8750 0.2500
In 0.2500 0.1250 0.8750
In 0.2500 0.6250 0.3750
In 0.3750 0.2500 0.6250
In 0.3750 0.6250 0.7500
In 0.5000 0.0000 0.0000
In 0.5000 0.0000 0.5000
In 0.5000 0.5000 0.0000
In 0.5000 0.5000 0.5000
In 0.6250 0.3750 0.2500
In 0.6250 0.7500 0.3750
In 0.7500 0.3750 0.6250
In 0.7500 0.8750 0.1250
In 0.8750 0.1250 0.7500
In 0.8750 0.2500 0.1250
F 0.0540 0.2229 0.1375
F 0.0540 0.3311 0.9165
F 0.0835 0.6375 0.4146
F 0.0835 0.9460 0.6689
F 0.0854 0.7229 0.6689
F 0.0854 0.8625 0.4165
F 0.1375 0.0540 0.2229
F 0.1375 0.5835 0.9146
F 0.1689 0.2229 0.5854
F 0.1689 0.4460 0.5835
F 0.2229 0.1375 0.0540
F 0.2229 0.5854 0.1689
F 0.2771 0.3311 0.9146
F 0.2771 0.4460 0.3625
F 0.3311 0.9146 0.2771
F 0.3311 0.9165 0.0540
F 0.3625 0.2771 0.4460
F 0.3625 0.5854 0.9165
F 0.4146 0.0835 0.6375
F 0.4146 0.8311 0.7771
F 0.4165 0.0854 0.8625
F 0.4165 0.8311 0.5540
F 0.4460 0.3625 0.2771
F 0.4460 0.5835 0.1689
F 0.5540 0.4165 0.8311
F 0.5540 0.6375 0.7229
F 0.5835 0.1689 0.4460
F 0.5835 0.9146 0.1375
F 0.5854 0.1689 0.2229
F 0.5854 0.9165 0.3625
F 0.6375 0.4146 0.0835
F 0.6375 0.7229 0.5540
F 0.6689 0.0835 0.9460
F 0.6689 0.0854 0.7229
F 0.7229 0.5540 0.6375
F 0.7229 0.6689 0.0854
F 0.7771 0.4146 0.8311
F 0.7771 0.8625 0.9460
F 0.8311 0.5540 0.4165
F 0.8311 0.7771 0.4146
F 0.8625 0.4165 0.0854
F 0.8625 0.9460 0.7771
F 0.9146 0.1375 0.5835
F 0.9146 0.2771 0.3311
F 0.9165 0.0540 0.3311
F 0.9165 0.3625 0.5854
F 0.9460 0.6689 0.0835
F 0.9460 0.7771 0.8625
```

Values from the calculation:
Raw formation energy, eV per atom: -2.592
Mass density, g cm⁻³: 4.618

Entry 6:
Here is an optimized crystal structure of KBa2InF from the Alexandria database. Energies are from PBE. Values from VASP.

Structure (Quantum ESPRESSO input):
```
&SYSTEM
  ibrav = 0, nat = 5, ntyp = 4
/
ATOMIC_SPECIES
K 39.10 K.upf
Ba 137.33 Ba.upf
In 114.82 In.upf
F 19.00 F.upf
CELL_PARAMETERS angstrom
5.7695 0.0000 0.0000
0.0000 5.7695 0.0000
0.0000 0.0000 5.2267
ATOMIC_POSITIONS crystal
K 0.0000 0.0000 0.0000
Ba 0.0000 0.5000 0.5000
Ba 0.5000 0.0000 0.5000
In 0.5000 0.5000 0.0000
F 0.0000 0.0000 0.5000
```

Values from the calculation:
Raw formation energy, eV per atom: -1.205
Mass density, g cm⁻³: 4.272